DFT (PBEsol) results for a geometry-optimized SiTcPt2 structure.

Results
Energy relative to the elements, uncorrected in meV per atom: -283
Total DFT energy (no corrections) in Ha/atom: -0.2946

Geometry as CIF:
```
data_SiTcPt2
_chemical_formula_sum 'Si2 Tc2 Pt4'
_space_group_name_H-M_alt 'I m m m'
_space_group_IT_number 71
_space_group_name_Hall '-I 2 2'
_cell_length_a 3.150
_cell_length_b 4.176
_cell_length_c 8.562
_cell_angle_alpha 90.00
_cell_angle_beta 90.00
_cell_angle_gamma 90.00
loop_
_atom_site_label
_atom_site_fract_x
_atom_site_fract_y
_atom_site_fract_z
Si1 0.000 0.000 0.000
Tc1 0.000 0.000 0.500
Pt1 0.000 0.500 0.282
```

***

DFT (PBEsol) results for a geometry-optimized CdTc2Ru structure.

Results
Total DFT energy (no corrections) in Ha/atom: -0.2947

Geometry as CIF:
```
data_CdTc2Ru
_chemical_formula_sum 'Cd2 Tc4 Ru2'
_space_group_name_H-M_alt 'I m m 2'
_space_group_IT_number 44
_space_group_name_Hall 'I 2 -2'
_cell_length_a 2.971
_cell_length_b 4.600
_cell_length_c 8.906
_cell_angle_alpha 90.00
_cell_angle_beta 90.00
_cell_angle_gamma 90.00
loop_
_atom_site_label
_atom_site_fract_x
_atom_site_fract_y
_atom_site_fract_z
Cd1 0.000 0.000 0.000
Tc1 0.000 0.000 0.508
Tc2 0.000 0.500 0.225
Ru1 0.000 0.500 0.772
```

***

DFT (PBEsol) results for a geometry-optimized BaLiIn2 structure.

Results
Total DFT energy (no corrections) in Ha/atom: -0.1065

Geometry as CIF:
```
data_BaLiIn2
_chemical_formula_sum 'Ba3 Li3 In6'
_space_group_name_H-M_alt 'R -3 m'
_space_group_IT_number 166
_space_group_name_Hall '-R 3 2"'
_cell_length_a 4.7897
_cell_length_b 4.7897
_cell_length_c 18.4391
_cell_angle_alpha 90.00
_cell_angle_beta 90.00
_cell_angle_gamma 120.00
loop_
_atom_site_label
_atom_site_fract_x
_atom_site_fract_y
_atom_site_fract_z
Ba1 0.0000 0.0000 0.0000
Li1 0.0000 0.0000 0.5000
In1 0.0000 0.0000 0.2017
```

***

DFT (PBEsol) results for a geometry-optimized MoPt2 structure.

Results
Energy above the lowest structure with this stoichiometry in kJ per mole of atoms: 10.4
Total DFT energy (no corrections) in Ha/atom: -0.3255

Geometry as CIF:
```
data_MoPt2
_chemical_formula_sum 'Mo4 Pt8'
_space_group_name_H-M_alt 'C m c m'
_space_group_IT_number 63
_space_group_name_Hall '-C 2c 2'
_cell_length_a 3.918
_cell_length_b 11.783
_cell_length_c 3.883
_cell_angle_alpha 90.00
_cell_angle_beta 90.00
_cell_angle_gamma 90.00
loop_
_atom_site_label
_atom_site_fract_x
_atom_site_fract_y
_atom_site_fract_z
Mo1 0.000 0.082 0.250
Pt1 0.000 0.253 0.750
Pt2 0.000 0.425 0.250
```

***

DFT (PBEsol) results for a geometry-optimized TiCuNiPt2 structure.

Results
Total DFT energy (no corrections) in Ha/atom: -0.2151

Geometry as CIF:
```
data_TiCuNiPt2
_chemical_formula_sum 'Ti1 Cu1 Ni1 Pt2'
_space_group_name_H-M_alt 'P 4/m m m'
_space_group_IT_number 123
_space_group_name_Hall '-P 4 2'
_cell_length_a 4.567
_cell_length_b 4.567
_cell_length_c 4.061
_cell_angle_alpha 90.00
_cell_angle_beta 90.00
_cell_angle_gamma 90.00
loop_
_atom_site_label
_atom_site_fract_x
_atom_site_fract_y
_atom_site_fract_z
Ti1 0.000 0.000 0.000
Cu1 0.500 0.500 0.000
Ni1 0.000 0.000 0.500
Pt1 0.000 0.500 0.500
```

***

DFT (PBEsol) results for a geometry-optimized TaMo3 structure.

Results
Total DFT energy (no corrections) in Ha/atom: -0.4443

Geometry as CIF:
```
data_TaMo3
_chemical_formula_sum 'Ta4 Mo12'
_space_group_name_H-M_alt 'C 1 2/m 1'
_space_group_IT_number 12
_space_group_name_Hall '-C 2y'
_cell_length_a 10.012
_cell_length_b 3.154
_cell_length_c 8.944
_cell_angle_alpha 90.00
_cell_angle_beta 116.60
_cell_angle_gamma 90.00
loop_
_atom_site_label
_atom_site_fract_x
_atom_site_fract_y
_atom_site_fract_z
Ta1 0.124 0.000 0.188
Mo1 0.122 0.000 0.685
Mo2 0.125 0.500 0.440
Mo3 0.128 0.500 0.936
```

***

DFT (PBEsol) results for a geometry-optimized La3TaTe structure.

Results
Energy relative to the elements, uncorrected in meV per atom: 75
Total DFT energy (no corrections) in Ha/atom: -0.2333

Geometry as CIF:
```
data_La3TaTe
_chemical_formula_sum 'La3 Ta1 Te1'
_space_group_name_H-M_alt 'P m -3 m'
_space_group_IT_number 221
_space_group_name_Hall '-P 4 2 3'
_cell_length_a 5.479
_cell_length_b 5.479
_cell_length_c 5.479
_cell_angle_alpha 90.00
_cell_angle_beta 90.00
_cell_angle_gamma 90.00
loop_
_atom_site_label
_atom_site_fract_x
_atom_site_fract_y
_atom_site_fract_z
La1 0.000 0.000 0.500
Ta1 0.000 0.000 0.000
Te1 0.500 0.500 0.500
```

***

DFT (PBEsol) results for a geometry-optimized AlAg5 structure.

Results
Energy above the lowest structure with this stoichiometry in kJ per mole of atoms: 0.0
Total DFT energy (no corrections) in Ha/atom: -0.1291

Geometry as CIF:
```
data_AlAg5
_chemical_formula_sum 'Al1 Ag5'
_space_group_name_H-M_alt 'P -6 2 m'
_space_group_IT_number 189
_space_group_name_Hall 'P -6 -2'
_cell_length_a 4.9248
_cell_length_b 4.9248
_cell_length_c 4.6418
_cell_angle_alpha 90.00
_cell_angle_beta 90.00
_cell_angle_gamma 120.00
loop_
_atom_site_label
_atom_site_fract_x
_atom_site_fract_y
_atom_site_fract_z
Al1 0.0000 0.0000 0.0000
Ag1 0.0000 0.6732 0.5000
Ag2 0.3333 0.6667 0.0000
```

***

Q: Among the records above, which one has the highest total DFT energy (no corrections)?
A: BaLiIn2